[1]
VASP calculation (PBEsol) on LiLa3Se after structural relaxation.

Cell lengths 5.159, 5.159, 5.159 Å; angles 90.00, 90.00, 90.00 degrees
Space group Pm-3m (No. 221)
Unique sites:
1 Li 0.000 0.000 0.000
2 La 0.000 0.000 0.500
3 Se 0.500 0.500 0.500

- Formation energy from raw total energies: 0.03 eV per atom
- Electronic total energy: -4.338 eV per atom

---

[2]
VASP calculation (PBEsol) on LiLa2Se after structural relaxation.

Cell lengths 4.2040, 4.2040, 23.9534 Å; angles 90.00, 90.00, 120.00 degrees
Space group R-3m (No. 166, hexagonal axes)
Unique sites:
1 Li 0.0000 0.0000 0.0000
2 La 0.0000 0.0000 0.2374
3 Se 0.0000 0.0000 0.5000

- Formation energy from raw total energies: -0.77 eV per atom
- Electronic total energy: -4.900 eV per atom

---

[3]
VASP calculation (PBEsol) on Sr2LiLaSe after structural relaxation.

Cell lengths 6.390, 6.390, 4.366 Å; angles 90.00, 90.00, 90.00 degrees
Space group P4/mmm (No. 123)
Unique sites:
1 Sr 0.000 0.500 0.000
2 Li 0.000 0.000 0.000
3 La 0.500 0.500 0.500
4 Se 0.000 0.000 0.500

- Formation energy from raw total energies: -0.12 eV per atom
- Electronic total energy: -3.093 eV per atom

---

[4]
VASP calculation (PBEsol) on LiLaSi after structural relaxation.

Cell lengths 3.437, 4.516, 8.557 Å; angles 90.00, 90.00, 90.00 degrees
Space group Imm2 (No. 44)
Unique sites:
1 Li 0.000 0.000 0.000
2 La 0.000 0.000 0.672
3 Si 0.000 0.000 0.321

- Formation energy from raw total energies: -0.21 eV per atom
- Electronic total energy: -4.559 eV per atom

---

[5]
VASP calculation (PBEsol) on LiLa2Si after structural relaxation.

Cell lengths 3.864, 3.864, 7.093 Å; angles 90.00, 90.00, 90.00 degrees
Space group P4/mmm (No. 123)
Unique sites:
1 Li 0.000 0.000 0.000
2 La 0.500 0.500 0.290
3 Si 0.000 0.000 0.500

- Formation energy from raw total energies: -0.30 eV per atom
- Electronic total energy: -4.899 eV per atom

---

[6]
VASP calculation (PBEsol) on LiLa2Si after structural relaxation.

Cell lengths 4.296, 4.324, 5.972 Å; angles 90.00, 110.88, 90.00 degrees
Space group Pm (No. 6)
Unique sites:
1 Li 0.000 0.000 0.000
2 La 0.409 0.500 0.818
3 La 0.695 0.000 0.394
4 Si 0.123 0.500 0.248

- Formation energy from raw total energies: -0.31 eV per atom
- Electronic total energy: -4.913 eV per atom

---

[7]
VASP calculation (PBEsol) on LiLaSi after structural relaxation.

Cell lengths 6.430, 6.430, 6.430 Å; angles 90.00, 90.00, 90.00 degrees
Space group F-43m (No. 216)
Unique sites:
1 Li 0.000 0.000 0.000
2 La 0.250 0.250 0.750
3 Si 0.250 0.250 0.250

- Formation energy from raw total energies: -0.34 eV per atom
- Electronic total energy: -4.690 eV per atom

---

[8]
VASP calculation (PBEsol) on SrLi2La after structural relaxation.

Cell lengths 3.677, 5.766, 11.703 Å; angles 90.00, 90.00, 90.00 degrees
Space group Imm2 (No. 44)
Unique sites:
1 Sr 0.000 0.000 0.000
2 Li 0.000 0.000 0.447
3 Li 0.000 0.500 0.763
4 La 0.000 0.500 0.203

- DFT formation energy: 0.1552 eV/atom
- Electronic total energy: -2.625 eV per atom

---

[9]
VASP calculation (PBEsol) on Sr2LiLa after structural relaxation.

Cell lengths 5.435, 5.447, 10.544 Å; angles 90.00, 90.00, 90.00 degrees
Space group Cmmm (No. 65)
Unique sites:
1 Sr 0.000 0.000 0.228
2 Li 0.000 0.500 0.000
3 La 0.000 0.500 0.500

- DFT formation energy: 0.1340 eV/atom
- Electronic total energy: -2.614 eV per atom

---

[10]
VASP calculation (PBEsol) on Sr2LiLa after structural relaxation.

Cell lengths 8.580, 8.580, 8.580 Å; angles 90.00, 90.00, 90.00 degrees
Space group Fm-3m (No. 225)
Unique sites:
1 Sr 0.250 0.250 0.250
2 Li 0.000 0.000 0.000
3 La 0.000 0.000 0.500

- DFT formation energy: 0.2647 eV/atom
- Electronic total energy: -2.484 eV per atom

---

[11]
VASP calculation (PBEsol) on SrLi2La after structural relaxation.

Cell lengths 7.793, 7.793, 7.793 Å; angles 90.00, 90.00, 90.00 degrees
Space group F-43m (No. 216)
Unique sites:
1 Sr 0.000 0.000 0.000
2 Li 0.000 0.000 0.500
3 Li 0.250 0.250 0.750
4 La 0.250 0.250 0.250

- DFT formation energy: 0.2648 eV/atom
- Electronic total energy: -2.515 eV per atom

---

[12]
VASP calculation (PBEsol) on Sr2LiLa after structural relaxation.

Cell lengths 8.568, 8.568, 8.568 Å; angles 90.00, 90.00, 90.00 degrees
Space group F-43m (No. 216)
Unique sites:
1 Sr 0.000 0.000 0.000
2 Sr 0.250 0.250 0.250
3 Li 0.000 0.000 0.500
4 La 0.250 0.250 0.750

- DFT formation energy: 0.2551 eV/atom
- Electronic total energy: -2.493 eV per atom

---

[13]
VASP calculation (PBEsol) on SrLi2La2 after structural relaxation.

Cell lengths 5.321, 5.321, 11.734 Å; angles 90.00, 90.00, 90.00 degrees
Space group I4/mmm (No. 139)
Unique sites:
1 Sr 0.000 0.000 0.000
2 Li 0.000 0.500 0.250
3 La 0.000 0.000 0.380

- DFT formation energy: 0.3587 eV/atom
- Electronic total energy: -2.935 eV per atom

---

[14]
VASP calculation (PBEsol) on LiLa2Ta after structural relaxation.

Cell lengths 5.583, 3.109, 6.074 Å; angles 90.00, 111.23, 90.00 degrees
Space group P2/m (No. 10)
Unique sites:
1 Li 0.000 0.000 0.000
2 La 0.000 0.000 0.500
3 La 0.500 0.500 0.000
4 Ta 0.500 0.500 0.500

- DFT formation energy: 0.5229 eV/atom
- Electronic total energy: -5.780 eV per atom

---

[15]
VASP calculation (PBEsol) on LiLa2Ta after structural relaxation.

Cell lengths 3.342, 5.373, 10.804 Å; angles 90.00, 90.00, 90.00 degrees
Space group Imm2 (No. 44)
Unique sites:
1 Li 0.000 0.000 0.000
2 La 0.000 0.000 0.468
3 La 0.000 0.500 0.239
4 Ta 0.000 0.500 0.710

- DFT formation energy: 0.4468 eV/atom
- Electronic total energy: -5.856 eV per atom

---

[16]
VASP calculation (PBEsol) on LiLaTc2 after structural relaxation.

Cell lengths 2.7900, 2.7900, 30.6514 Å; angles 90.00, 90.00, 120.00 degrees
Space group R-3m (No. 166, hexagonal axes)
Unique sites:
1 Li 0.0000 0.0000 0.0000
2 La 0.0000 0.0000 0.5000
3 Tc 0.0000 0.0000 0.2578

- DFT formation energy: 0.7543 eV/atom
- Electronic total energy: -6.707 eV per atom

---

[17]
VASP calculation (PBEsol) on LiLaTc2 after structural relaxation.

Cell lengths 5.314, 9.402, 2.942 Å; angles 90.00, 115.23, 90.00 degrees
Space group C2/m (No. 12)
Unique sites:
1 Li 0.000 0.000 0.000
2 La 0.000 0.500 0.000
3 Tc 0.250 0.250 0.500

- DFT formation energy: 0.4966 eV/atom
- Electronic total energy: -6.965 eV per atom

---

[18]
VASP calculation (PBEsol) on LiLaTc2 after structural relaxation.

Cell lengths 4.583, 4.583, 6.469 Å; angles 90.00, 90.00, 90.00 degrees
Space group I-4m2 (No. 119)
Unique sites:
1 Li 0.000 0.000 0.000
2 La 0.000 0.500 0.250
3 Tc 0.000 0.000 0.500
4 Tc 0.000 0.500 0.750

- DFT formation energy: 0.4226 eV/atom
- Electronic total energy: -7.039 eV per atom

---

[19]
VASP calculation (PBEsol) on LiLa2Tc after structural relaxation.

Cell lengths 4.914, 4.930, 8.582 Å; angles 90.00, 90.00, 90.00 degrees
Space group Cmmm (No. 65)
Unique sites:
1 Li 0.000 0.000 0.000
2 La 0.000 0.500 0.301
3 Tc 0.000 0.000 0.500

- DFT formation energy: 0.1014 eV/atom
- Electronic total energy: -5.880 eV per atom

---

[20]
VASP calculation (PBEsol) on LiLa2Te after structural relaxation.

Cell lengths 4.421, 4.332, 11.952 Å; angles 90.00, 90.00, 90.00 degrees
Space group Amm2 (No. 38)
Unique sites:
1 Li 0.000 0.000 0.000
2 La 0.000 0.000 0.284
3 La 0.500 0.000 0.588
4 Te 0.500 0.000 0.865

- Formation energy from raw total energies: -0.72 eV per atom
- Electronic total energy: -4.762 eV per atom